No. 1
{
  "formula": "Tm5B2O6F9",
  "functional": "PBE",
  "state": "relaxed",
  "spacegroup": "C2/c (15)",
  "formation_energy_uncorrected_ev_per_fu": -81.091,
  "volume_a3_per_cell": 496.38,
  "m_tot_mub_per_cell": 0.0,
  "lattice_angstrom": [[10.228, -3.004, 0.000], [10.228, 3.004, 0.000], [-1.488, 0.000, 8.077]],
  "species": ["Tm", "Tm", "Tm", "Tm", "Tm", "Tm", "Tm", "Tm", "Tm", "Tm", "B", "B", "B", "B", "O", "O", "O", "O", "O", "O", "O", "O", "O", "O", "O", "O", "F", "F", "F", "F", "F", "F", "F", "F", "F", "F", "F", "F", "F", "F", "F", "F", "F", "F"],
  "fractional_positions": [[0.073, 0.315, 0.320], [0.109, 0.891, 0.750], [0.282, 0.500, 0.092], [0.315, 0.073, 0.820], [0.500, 0.282, 0.592], [0.500, 0.718, 0.408], [0.685, 0.927, 0.180], [0.718, 0.500, 0.908], [0.891, 0.109, 0.250], [0.927, 0.685, 0.680], [0.015, 0.207, 0.563], [0.207, 0.015, 0.063], [0.793, 0.985, 0.937], [0.985, 0.793, 0.437], [0.011, 0.803, 0.282], [0.098, 0.220, 0.039], [0.150, 0.670, 0.566], [0.197, 0.989, 0.218], [0.220, 0.098, 0.539], [0.330, 0.850, 0.934], [0.670, 0.150, 0.066], [0.780, 0.902, 0.461], [0.803, 0.011, 0.782], [0.850, 0.330, 0.434], [0.902, 0.780, 0.961], [0.989, 0.197, 0.718], [0.012, 0.443, 0.785], [0.152, 0.785, 0.014], [0.214, 0.366, 0.519], [0.215, 0.848, 0.486], [0.297, 0.440, 0.814], [0.366, 0.214, 0.019], [0.440, 0.297, 0.314], [0.443, 0.012, 0.285], [0.484, 0.516, 0.750], [0.516, 0.484, 0.250], [0.557, 0.988, 0.715], [0.560, 0.703, 0.686], [0.634, 0.786, 0.981], [0.703, 0.560, 0.186], [0.785, 0.152, 0.514], [0.786, 0.634, 0.481], [0.848, 0.215, 0.986], [0.988, 0.557, 0.215]]
}

No. 2
{
  "formula": "ZnCo2Br",
  "functional": "PBE",
  "state": "relaxed",
  "spacegroup": "Pmmm (47)",
  "formation_energy_uncorrected_ev_per_fu": 2.611,
  "polymorph_energy_mev_per_atom": 383,
  "volume_a3_per_cell": 59.98,
  "m_tot_mub_per_cell": 3.2,
  "lattice_angstrom": [[3.091, 0.000, 0.000], [0.000, 4.092, 0.000], [0.000, 0.000, 4.743]],
  "species": ["Zn", "Co", "Co", "Br"],
  "fractional_positions": [[0.000, 0.000, 0.000], [0.000, 0.500, 0.500], [0.500, 0.500, 0.000], [0.500, 0.000, 0.500]]
}

No. 3
{
  "formula": "AcLa4Au5",
  "functional": "PBE",
  "state": "relaxed",
  "spacegroup": "P4/mmm (123)",
  "formation_enthalpy_0k_ev_per_atom": -0.778,
  "volume_a3_per_cell": 276.00,
  "m_tot_mub_per_cell": 0.0,
  "lattice_angstrom": [[3.794, 0.000, 0.000], [0.000, 3.794, 0.000], [0.000, 0.000, 19.175]],
  "species": ["Ac", "La", "La", "La", "La", "Au", "Au", "Au", "Au", "Au"],
  "fractional_positions": [[0.000, 0.000, 0.000], [0.000, 0.000, 0.204], [0.000, 0.000, 0.401], [0.000, 0.000, 0.599], [0.000, 0.000, 0.796], [0.500, 0.500, 0.107], [0.500, 0.500, 0.302], [0.500, 0.500, 0.500], [0.500, 0.500, 0.698], [0.500, 0.500, 0.893]]
}

No. 4
{
  "formula": "Rb3CdF5",
  "functional": "PBE",
  "state": "relaxed",
  "spacegroup": "I4/mcm (140)",
  "formation_energy_uncorrected_ev_per_fu": -22.278,
  "volume_a3_per_cell": 390.78,
  "m_tot_mub_per_cell": 0.2,
  "lattice_angstrom": [[-3.811, 3.811, 6.728], [3.811, -3.811, 6.728], [3.811, 3.811, -6.728]],
  "species": ["Rb", "Rb", "Rb", "Rb", "Rb", "Rb", "Cd", "Cd", "F", "F", "F", "F", "F", "F", "F", "F", "F", "F"],
  "fractional_positions": [[0.176, 0.676, 0.851], [0.250, 0.250, 0.000], [0.324, 0.176, 0.500], [0.676, 0.824, 0.500], [0.750, 0.750, 0.000], [0.824, 0.324, 0.149], [0.250, 0.750, 0.500], [0.750, 0.250, 0.500], [0.000, 0.000, 0.000], [0.004, 0.196, 0.500], [0.196, 0.696, 0.193], [0.304, 0.496, 0.500], [0.496, 0.996, 0.193], [0.500, 0.500, 0.000], [0.504, 0.004, 0.807], [0.696, 0.504, 0.500], [0.804, 0.304, 0.807], [0.996, 0.804, 0.500]]
}

No. 5
{
  "formula": "PmUSn2",
  "functional": "PBE",
  "state": "relaxed",
  "spacegroup": "R-3m (166)",
  "formation_enthalpy_0k_ev_per_atom": 0.179,
  "volume_a3_per_cell": 337.43,
  "m_tot_mub_per_cell": 10.0,
  "lattice_angstrom": [[3.290, 0.000, 0.000], [-1.645, 2.849, 0.000], [0.000, 0.000, 35.998]],
  "species": ["Pm", "Pm", "Pm", "U", "U", "U", "Sn", "Sn", "Sn", "Sn", "Sn", "Sn"],
  "fractional_positions": [[0.000, 0.000, 0.000], [0.333, 0.667, 0.667], [0.667, 0.333, 0.333], [0.000, 0.000, 0.500], [0.333, 0.667, 0.167], [0.667, 0.333, 0.833], [0.000, 0.000, 0.412], [0.000, 0.000, 0.588], [0.333, 0.667, 0.078], [0.333, 0.667, 0.255], [0.667, 0.333, 0.745], [0.667, 0.333, 0.922]]
}

No. 6
{
  "formula": "Rb2CuBr6N",
  "functional": "PBE",
  "state": "relaxed",
  "spacegroup": "I4/mmm (139)",
  "formation_energy_uncorrected_ev_per_fu": -3.287,
  "volume_a3_per_cell": 263.97,
  "m_tot_mub_per_cell": 0.0,
  "lattice_angstrom": [[-3.602, 3.602, 5.088], [3.602, -3.602, 5.088], [3.602, 3.602, -5.088]],
  "species": ["Rb", "Rb", "Cu", "Br", "Br", "Br", "Br", "Br", "Br", "N"],
  "fractional_positions": [[0.250, 0.750, 0.500], [0.750, 0.250, 0.500], [0.000, 0.000, 0.000], [0.254, 0.254, 0.000], [0.256, 0.256, 0.511], [0.256, 0.744, 0.000], [0.744, 0.256, 0.000], [0.744, 0.744, 0.489], [0.746, 0.746, 0.000], [0.500, 0.500, 0.000]]
}

No. 7
{
  "formula": "RbCaY2Pt",
  "functional": "PBE",
  "state": "relaxed",
  "spacegroup": "P4/mmm (123)",
  "formation_enthalpy_0k_ev_per_atom": 1.389,
  "volume_a3_per_cell": 182.86,
  "m_tot_mub_per_cell": 2.6,
  "lattice_angstrom": [[5.667, 0.000, 0.000], [0.000, 5.667, 0.000], [0.000, 0.000, 5.693]],
  "species": ["Rb", "Ca", "Y", "Y", "Pt"],
  "fractional_positions": [[0.000, 0.000, 0.000], [0.000, 0.000, 0.500], [0.000, 0.500, 0.500], [0.500, 0.000, 0.500], [0.500, 0.500, 0.000]]
}

No. 8
{
  "formula": "PaCdSn2N",
  "functional": "PBE",
  "state": "relaxed",
  "spacegroup": "P4/nmm (129)",
  "formation_energy_uncorrected_ev_per_fu": -2.922,
  "volume_a3_per_cell": 253.44,
  "m_tot_mub_per_cell": 0.0,
  "lattice_angstrom": [[3.879, 0.000, 0.000], [0.000, 3.879, 0.000], [0.000, 0.000, 16.847]],
  "species": ["Pa", "Pa", "Cd", "Cd", "Sn", "Sn", "Sn", "Sn", "N", "N"],
  "fractional_positions": [[0.250, 0.250, 0.071], [0.750, 0.750, 0.929], [0.250, 0.250, 0.643], [0.750, 0.750, 0.357], [0.250, 0.250, 0.448], [0.250, 0.250, 0.811], [0.750, 0.750, 0.189], [0.750, 0.750, 0.552], [0.250, 0.750, 0.000], [0.750, 0.250, 0.000]]
}

No. 9
{
  "formula": "ScBe2Tc",
  "functional": "PBE",
  "state": "relaxed",
  "spacegroup": "Pmm2 (25)",
  "formation_enthalpy_0k_ev_per_atom": 0.068,
  "polymorph_energy_mev_per_atom": 292,
  "volume_a3_per_cell": 52.68,
  "m_tot_mub_per_cell": 0.3,
  "lattice_angstrom": [[2.564, 0.000, 0.000], [0.000, 3.076, 0.000], [0.000, 0.000, 6.680]],
  "species": ["Sc", "Be", "Be", "Tc"],
  "fractional_positions": [[0.000, 0.000, 0.000], [0.000, 0.000, 0.547], [0.500, 0.500, 0.698], [0.500, 0.500, 0.327]]
}

No. 10
{
  "formula": "TbPd6Au",
  "functional": "PBE",
  "state": "relaxed",
  "spacegroup": "P4/mmm (123)",
  "formation_enthalpy_0k_ev_per_atom": -0.447,
  "polymorph_energy_mev_per_atom": 0,
  "volume_a3_per_cell": 134.75,
  "m_tot_mub_per_cell": 0.0,
  "lattice_angstrom": [[5.717, 0.000, 0.000], [0.000, 5.717, 0.000], [0.000, 0.000, 4.123]],
  "species": ["Tb", "Pd", "Pd", "Pd", "Pd", "Pd", "Pd", "Au"],
  "fractional_positions": [[0.000, 0.000, 0.000], [0.000, 0.500, 0.000], [0.254, 0.254, 0.500], [0.254, 0.746, 0.500], [0.500, 0.000, 0.000], [0.746, 0.254, 0.500], [0.746, 0.746, 0.500], [0.500, 0.500, 0.000]]
}

No. 11
{
  "formula": "Ba2In3GaAu4",
  "functional": "PBE",
  "state": "relaxed",
  "spacegroup": "P-4m2 (115)",
  "formation_enthalpy_0k_ev_per_atom": -0.539,
  "volume_a3_per_cell": 265.39,
  "m_tot_mub_per_cell": 0.0,
  "lattice_angstrom": [[4.919, 0.000, 0.000], [0.000, 4.919, 0.000], [0.000, 0.000, 10.969]],
  "species": ["Ba", "Ba", "In", "In", "In", "Ga", "Au", "Au", "Au", "Au"],
  "fractional_positions": [[0.000, 0.500, 0.250], [0.500, 0.000, 0.750], [0.000, 0.000, 0.000], [0.000, 0.500, 0.624], [0.500, 0.000, 0.376], [0.500, 0.500, 0.000], [0.000, 0.000, 0.500], [0.000, 0.500, 0.878], [0.500, 0.000, 0.122], [0.500, 0.500, 0.500]]
}